[1]
# Cs2NaFeI6, relaxed, DFT GGA-PBE
# * E_tot: -29.267 eV per cell
# * magnetic moment: 0.954 μB per formula unit
# * Fermi-level density of states: 1.068 states/eV/atom
# * raw formation energy: -81.8 kJ/mol of atoms
data_Cs2NaFeI6
_chemical_formula_sum 'Cs2 Na1 Fe1 I6'
_space_group_name_H-M_alt 'P -3 m 1'
_space_group_IT_number 164
_space_group_name_Hall '-P 3 2"'
_cell_length_a 8.2160
_cell_length_b 8.2160
_cell_length_c 7.6534
_cell_angle_alpha 90.00
_cell_angle_beta 90.00
_cell_angle_gamma 120.00
loop_
_atom_site_label
_atom_site_type_symbol
_atom_site_fract_x
_atom_site_fract_y
_atom_site_fract_z
Cs1 Cs 0.3333 0.6667 0.1963
Na1 Na 0.0000 0.0000 0.5000
Fe1 Fe 0.0000 0.0000 0.0000
I1 I 0.1544 0.3088 0.7971

***

[2]
# Cs2NaFeI6, relaxed, DFT GGA-PBE
# * E_tot: -118.722 eV per cell
# * magnetic moment: 5.000 μB per formula unit
# * Fermi-level density of states: 0.000 states/eV/atom
# * raw formation energy: -85.8 kJ/mol of atoms
data_Cs2NaFeI6
_chemical_formula_sum 'Cs8 Na4 Fe4 I24'
_space_group_name_H-M_alt 'F m -3 m'
_space_group_IT_number 225
_space_group_name_Hall '-F 4 2 3'
_cell_length_a 11.9833
_cell_length_b 11.9833
_cell_length_c 11.9833
_cell_angle_alpha 90.00
_cell_angle_beta 90.00
_cell_angle_gamma 90.00
loop_
_atom_site_label
_atom_site_type_symbol
_atom_site_fract_x
_atom_site_fract_y
_atom_site_fract_z
Cs1 Cs 0.2500 0.2500 0.2500
Na1 Na 0.0000 0.0000 0.0000
Fe1 Fe 0.0000 0.0000 0.5000
I1 I 0.0000 0.0000 0.2657